No. 1
Crystalline HoRuRhPb at its relaxed geometry, computed with PBE.

Its total energy is -6.608 eV/atom.

The space group is F-43m (No. 216) and the conventional cell measures 6.686, 6.686 and 6.686 Å, with angles of 90.00, 90.00 and 90.00 degrees. Symmetry generates all atoms from Ho at (0.000, 0.000, 0.000), Ru at (0.250, 0.250, 0.250), Rh at (0.250, 0.250, 0.750) and Pb at (0.000, 0.000, 0.500).


No. 2
Crystalline Ac2TeS at its relaxed geometry, computed with PBE.

The calculation puts the distance to the lowest polymorph of the same formula at 0.3014 eV/atom. Its total energy is -5.318 eV/atom. The uncorrected formation energy comes out at -1.447 eV/atom.

The space group is Fm-3m (No. 225) and the conventional cell measures 7.828, 7.828 and 7.828 Å, with angles of 90.00, 90.00 and 90.00 degrees. Symmetry generates all atoms from Ac at (0.250, 0.250, 0.250), Te at (0.000, 0.000, 0.000) and S at (0.000, 0.000, 0.500).


No. 3
Crystalline SrCaGaPd at its relaxed geometry, computed with PBE.

The calculation puts the distance to the lowest polymorph of the same formula at 0.1411 eV/atom. Its total energy is -3.398 eV/atom.

The space group is F-43m (No. 216) and the conventional cell measures 7.436, 7.436 and 7.436 Å, with angles of 90.00, 90.00 and 90.00 degrees. Symmetry generates all atoms from Sr at (0.000, 0.000, 0.000), Ca at (0.000, 0.000, 0.500), Ga at (0.250, 0.250, 0.250) and Pd at (0.250, 0.250, 0.750).


No. 4
Crystalline SrCr2SbAs at its relaxed geometry, computed with PBE.

Its total energy is -3.459 eV/atom. The uncorrected formation energy comes out at 2.481 eV/atom.

The space group is P4/mmm (No. 123) and the conventional cell measures 4.716, 4.716 and 5.775 Å, with angles of 90.00, 90.00 and 90.00 degrees. Symmetry generates all atoms from Sr at (0.000, 0.000, 0.000), Cr at (0.000, 0.500, 0.000), Sb at (0.000, 0.000, 0.500) and As at (0.500, 0.500, 0.500).


No. 5
Crystalline ScTa2Be at its relaxed geometry, computed with PBE.

Its total energy is -8.188 eV/atom.

The space group is P2/m (No. 10) and the conventional cell measures 2.910, 4.737 and 5.230 Å, with angles of 90.00, 102.09 and 90.00 degrees. Symmetry generates all atoms from Sc at (0.000, 0.000, 0.000), Ta at (0.348, 0.500, 0.733) and Be at (0.500, 0.000, 0.500).


No. 6
Crystalline TaCrPt2 at its relaxed geometry, computed with PBE.

The calculation puts the distance to the lowest polymorph of the same formula at 0.2897 eV/atom. Its total energy is -8.595 eV/atom.

The space group is C2/m (No. 12) and the conventional cell measures 9.248, 2.839 and 4.751 Å, with angles of 90.00, 100.97 and 90.00 degrees. Symmetry generates all atoms from Ta at (0.000, 0.000, 0.000), Cr at (0.000, 0.500, 0.500) and Pt at (0.244, 0.000, 0.742).